[1]
# Y2Be3

Y2Be3 after structural relaxation (PBE, Alexandria via LeMat-Bulk).

As for the spin magnetization: 0.000 μB per formula unit. As for the formation energy: 169 meV/atom. The value obtained for the energy above the lowest structure with this stoichiometry is 238 meV per atom. As for the crystal system: trigonal. The volume is 19.0 Å³/atom.

The structure belongs to space group R-3m (No. 166, hexagonal axes); the cell edges are 4.0935, 4.0935 and 19.6452 Å and the angles 90.00°, 90.00° and 120.00°. The inequivalent atoms are Y at (0.0000, 0.0000, 0.0851), Be at (0.0000, 0.0000, 0.3378) and Be at (0.0000, 0.0000, 0.5000).


[2]
# RbCrBi2Te

RbCrBi2Te after structural relaxation (PBE, Alexandria via LeMat-Bulk).

As for the final energy: -11.478 eV per cell. As for the spin magnetization: 0.436 μB per formula unit. As for the crystal system: tetragonal. The volume is 36.1 Å³/atom.

The structure belongs to space group P4/mmm (No. 123); the cell edges are 6.147, 6.147 and 4.781 Å and the angles 90.00°, 90.00° and 90.00°. The inequivalent atoms are Rb at (0.000, 0.000, 0.000), Cr at (0.000, 0.000, 0.500), Bi at (0.000, 0.500, 0.000) and Te at (0.500, 0.500, 0.500).